Entry 1:
{"formula": "K3UGe2O9", "functional": "PBE", "state": "relaxed", "lattice_angstrom": [[-0.9427, 3.6276, 4.2103], [-3.8260, -0.6241, -4.0923], [-3.0861, -5.0434, 3.6544]], "species": ["K", "K", "K", "U", "Ge", "Ge", "O", "O", "O", "O", "O", "O", "O", "O", "O"], "frac_coords": [[0.3333, 0.6667, 0.6759], [0.0000, 0.0000, 0.0000], [0.6667, 0.3333, 0.3241], [0.0000, 0.0000, 0.5000], [0.3333, 0.6667, 0.1542], [0.6667, 0.3333, 0.8458], [0.8268, 0.1732, 0.6770], [0.8268, 0.6537, 0.6770], [0.3463, 0.1732, 0.6770], [0.6537, 0.8268, 0.3230], [0.1732, 0.3463, 0.3230], [0.1732, 0.8268, 0.3230], [0.5000, 0.0000, 0.0000], [0.0000, 0.5000, 0.0000], [0.5000, 0.5000, 0.0000]], "formation_energy_uncorrected_mev_per_atom": -1932, "sg": "P-3m1", "mass_density_g_cm3": 5.596, "dos_at_fermi_per_ev_cell": 5.48}

---

Entry 2:
{"formula": "Rb3Cd3RuO8", "functional": "PBE", "state": "relaxed", "lattice_angstrom": [[-5.5852, -0.7721, 3.9331], [6.2112, 0.4858, 2.9072], [-2.9305, 6.3053, -2.9233]], "species": ["Rb", "Rb", "Rb", "Cd", "Cd", "Cd", "Ru", "O", "O", "O", "O", "O", "O", "O", "O"], "frac_coords": [[0.0000, 0.0000, 0.0000], [0.0000, 0.5000, 0.0000], [0.5000, 0.5000, 0.0000], [0.5000, 0.0000, 0.5000], [0.5000, 0.5000, 0.5000], [0.0000, 0.5000, 0.5000], [0.0000, 0.0000, 0.5000], [0.2809, 0.5618, 0.3427], [0.7191, 0.4382, 0.6573], [0.8083, 0.6166, 0.3296], [0.1917, 0.3834, 0.6704], [0.8082, 0.0213, 0.3296], [0.1918, 0.9787, 0.6704], [0.2131, 0.0213, 0.3296], [0.7869, 0.9787, 0.6704]], "formation_energy_uncorrected_mev_per_atom": -1062, "sg": "R-3m", "mass_density_g_cm3": 5.204, "dos_at_fermi_per_ev_cell": 5.52}

---

Entry 3:
{"formula": "NpGa2H6", "functional": "PBE", "state": "relaxed", "lattice_angstrom": [[-2.7027, -2.1915, 3.6571], [-0.2314, -5.0339, 0.2963], [2.3391, -2.4170, 3.7641]], "species": ["Np", "H", "H", "H", "H", "H", "H", "Ga", "Ga"], "frac_coords": [[0.0000, 0.0000, 0.0000], [0.2821, 0.7179, 0.2821], [0.7179, 0.2821, 0.2821], [0.2821, 0.7179, 0.7179], [0.7179, 0.2821, 0.7179], [0.7179, 0.7179, 0.2821], [0.2821, 0.2821, 0.7179], [0.7500, 0.7500, 0.7500], [0.2500, 0.2500, 0.2500]], "sg": "Fm-3m", "mass_density_g_cm3": 6.983, "dos_at_fermi_per_ev_cell": 3.60, "total_energy_ev_per_cell": -34.20}

---

Entry 4:
{"formula": "Be2SiTeS", "functional": "PBE", "state": "relaxed", "lattice_angstrom": [[4.3081, 0.0000, 0.0000], [0.0000, 4.9697, 0.0000], [0.0000, 0.0000, 4.3081]], "species": ["Be", "Be", "S", "Te", "Si"], "frac_coords": [[0.0000, 0.0000, 0.5000], [0.5000, 0.0000, 0.0000], [0.0000, 0.5000, 0.0000], [0.5000, 0.5000, 0.5000], [0.0000, 0.0000, 0.0000]], "formation_energy_uncorrected_mev_per_atom": 559, "sg": "P4/mmm", "mass_density_g_cm3": 3.705, "dos_at_fermi_per_ev_cell": 1.70}

---

Entry 5:
{"formula": "BaSr4Tl2", "functional": "PBE", "state": "relaxed", "lattice_angstrom": [[5.8221, 0.0000, 0.0000], [2.9110, 5.0421, 0.0000], [2.9110, 1.6807, 11.6709]], "species": ["Ba", "Sr", "Sr", "Sr", "Sr", "Tl", "Tl"], "frac_coords": [[0.5000, 0.5000, 0.5000], [0.6996, 0.6996, 0.9012], [0.9090, 0.9090, 0.2731], [0.3004, 0.3004, 0.0988], [0.0910, 0.0910, 0.7269], [0.6003, 0.6003, 0.1991], [0.3997, 0.3997, 0.8009]], "polymorph_energy_mev_per_atom": 91, "sg": "R-3m", "mass_density_g_cm3": 4.346, "dos_at_fermi_per_ev_cell": 10.75}

---

Entry 6:
{"formula": "Pr4HgGeI2", "functional": "PBE", "state": "relaxed", "lattice_angstrom": [[4.3990, 0.0000, 0.0000], [0.0000, 7.8880, 0.2294], [0.0000, -2.6689, 7.4796]], "species": ["Pr", "Pr", "Pr", "Pr", "Hg", "Ge", "I", "I"], "frac_coords": [[0.5000, 0.2474, 0.2185], [0.5000, 0.7526, 0.7815], [0.0000, 0.2737, 0.7900], [0.0000, 0.7263, 0.2100], [0.0000, 0.0000, 0.0000], [0.5000, 0.5000, 0.0000], [0.5000, 0.0000, 0.5000], [0.0000, 0.5000, 0.5000]], "formation_energy_uncorrected_mev_per_atom": -830, "sg": "P2/m", "mass_density_g_cm3": 6.907, "dos_at_fermi_per_ev_cell": 4.46}